The following is a PBE-GGA calculation of a geometry-optimized LiMg6Tl2 structure, from Alexandria via LeMat-Bulk.

* total energy: -1.829 eV per atom
* distance to the lowest polymorph of the same formula: 28 meV per atom
* energy of formation: -0.0270 eV per atom
* space-group type: No. 12
* total magnetization: 0.0 μB/f.u.

```
data_LiMg6Tl2
_chemical_formula_sum 'Li1 Mg6 Tl2'
_cell_length_a 8.444
_cell_length_b 8.444
_cell_length_c 3.722
_cell_angle_alpha 96.68
_cell_angle_beta 96.68
_cell_angle_gamma 125.84
_symmetry_space_group_name_H-M 'P 1'
_symmetry_Int_Tables_number 1
loop_
_symmetry_equiv_pos_as_xyz
'x,y,z'
loop_
_atom_site_label
_atom_site_fract_x
_atom_site_fract_y
_atom_site_fract_z
Li1 0.000 0.000 0.000
Mg1 0.169 0.494 0.177
Mg2 0.334 0.334 0.669
Mg3 0.494 0.169 0.177
Mg4 0.506 0.831 0.823
Mg5 0.666 0.666 0.331
Mg6 0.831 0.506 0.823
Tl1 0.154 0.846 0.500
Tl2 0.846 0.154 0.500
```

=====

The following is a PBE-GGA calculation of a geometry-optimized CaAl2Mo2 structure, from Alexandria via LeMat-Bulk.

* total energy: -6.217 eV per atom
* distance to the lowest polymorph of the same formula: 32 meV per atom
* energy of formation: 0.0132 eV per atom
* space-group type: No. 139
* total magnetization: 0.0 μB/f.u.

```
data_CaAl2Mo2
_chemical_formula_sum 'Ca2 Al4 Mo4'
_cell_length_a 3.871
_cell_length_b 3.871
_cell_length_c 12.843
_cell_angle_alpha 90.00
_cell_angle_beta 90.00
_cell_angle_gamma 90.00
_symmetry_space_group_name_H-M 'P 1'
_symmetry_Int_Tables_number 1
loop_
_symmetry_equiv_pos_as_xyz
'x,y,z'
loop_
_atom_site_label
_atom_site_fract_x
_atom_site_fract_y
_atom_site_fract_z
Ca1 0.000 0.000 0.000
Ca2 0.500 0.500 0.500
Al1 0.000 0.000 0.395
Al2 0.000 0.000 0.605
Al3 0.500 0.500 0.105
Al4 0.500 0.500 0.895
Mo1 0.000 0.500 0.250
Mo2 0.000 0.500 0.750
Mo3 0.500 0.000 0.250
Mo4 0.500 0.000 0.750
```